(1)
A relaxed structure of Al4Ni15, computed with GGA-PBE.

a = 3.566 Å, b = 3.566 Å, c = 17.326 Å
α = 90.00°, β = 90.00°, γ = 90.00°
Space group P4/mmm (No. 123)
Asymmetric unit:
Al1 0.000 0.000 0.102 [2 per cell]
Al2 0.000 0.000 0.309 [2 per cell]
Ni1 0.000 0.500 0.000 [2 per cell]
Ni2 0.000 0.500 0.206 [4 per cell]
Ni3 0.000 0.500 0.411 [4 per cell]
Ni4 0.500 0.500 0.103 [2 per cell]
Ni5 0.500 0.500 0.308 [2 per cell]
Ni6 0.500 0.500 0.500 [1 per cell]

For the formation energy, the calculation gives -0.272 eV/atom.

***

(2)
A relaxed structure of AlNi5, computed with GGA-PBE.

a = 4.073 Å, b = 2.576 Å, c = 12.815 Å
α = 90.00°, β = 90.00°, γ = 90.00°
Space group Amm2 (No. 38)
Asymmetric unit:
Al1 0.000 0.000 0.000 [2 per cell]
Ni1 0.000 0.000 0.333 [2 per cell]
Ni2 0.000 0.000 0.667 [2 per cell]
Ni3 0.500 0.000 0.120 [2 per cell]
Ni4 0.500 0.000 0.449 [2 per cell]
Ni5 0.500 0.000 0.784 [2 per cell]

For the formation energy, the calculation gives -0.216 eV/atom.